Entry 1:
# Nd2CuSb4Mo

A geometry-optimized Nd2CuSb4Mo structure (GGA-PBE, OQMD via LeMat-Bulk).

total DFT energy (no corrections): -5.5453 eV per atom

Cell lengths 4.3198, 4.3198, 10.6840 Å; angles 90.00, 90.00, 90.00 degrees
Last column: nearest neighbours and their distance in Å.
Positions (direct):
Nd 0.0000 0.5000 0.2357  8 Sb 3.26-3.32, 2 Mo 3.56, 2 Cu 3.56
Nd 0.5000 0.0000 0.7643  8 Sb 3.26-3.32, 2 Mo 3.56, 2 Cu 3.56
Cu 0.0000 0.0000 0.5000  4 Sb 2.73, 4 Mo 3.05
Sb 0.0000 0.0000 0.0000  4 Sb 3.05, 4 Nd 3.32
Sb 0.0000 0.5000 0.6567  2 Mo 2.73, 2 Cu 2.73
Sb 0.5000 0.0000 0.3433  2 Mo 2.73, 2 Cu 2.73
Sb 0.5000 0.5000 0.0000  4 Sb 3.05, 4 Nd 3.32
Mo 0.5000 0.5000 0.5000  4 Sb 2.73, 4 Cu 3.05

***

Entry 2:
# Cu2NiMo

A geometry-optimized Cu2NiMo structure (GGA-PBE, OQMD via LeMat-Bulk).

DFT formation energy: 0.197 eV/atom

Cell lengths 5.8562, 5.8562, 5.8562 Å; angles 90.00, 90.00, 90.00 degrees
Last column: nearest neighbours and their distance in Å.
Positions (direct):
Cu 0.0000 0.0000 0.0000  4 Cu 2.54, 4 Mo 2.54
Cu 0.0000 0.5000 0.5000  4 Cu 2.54, 4 Mo 2.54
Cu 0.2500 0.2500 0.2500  4 Ni 2.54, 4 Cu 2.54
Cu 0.2500 0.7500 0.7500  4 Ni 2.54, 4 Cu 2.54
Cu 0.5000 0.0000 0.5000  4 Cu 2.54, 4 Mo 2.54
Cu 0.5000 0.5000 0.0000  4 Cu 2.54, 4 Mo 2.54
Cu 0.7500 0.2500 0.7500  4 Ni 2.54, 4 Cu 2.54
Cu 0.7500 0.7500 0.2500  4 Ni 2.54, 4 Cu 2.54
Ni 0.0000 0.0000 0.5000  4 Mo 2.54, 4 Cu 2.54
Ni 0.0000 0.5000 0.0000  4 Mo 2.54, 4 Cu 2.54
Ni 0.5000 0.0000 0.0000  4 Mo 2.54, 4 Cu 2.54
Ni 0.5000 0.5000 0.5000  4 Mo 2.54, 4 Cu 2.54
Mo 0.2500 0.2500 0.7500  4 Ni 2.54, 4 Cu 2.54
Mo 0.2500 0.7500 0.2500  4 Ni 2.54, 4 Cu 2.54
Mo 0.7500 0.2500 0.2500  4 Ni 2.54, 4 Cu 2.54
Mo 0.7500 0.7500 0.7500  4 Cu 2.54, 4 Ni 2.54

***

Entry 3:
# CuNiSbMo

A geometry-optimized CuNiSbMo structure (GGA-PBE, OQMD via LeMat-Bulk).

E above lowest polymorph: 2.44 kcal/mol of atoms

Cell lengths 6.2358, 6.2358, 6.2358 Å; angles 90.00, 90.00, 90.00 degrees
Last column: nearest neighbours and their distance in Å.
Positions (direct):
Cu 0.0000 0.0000 0.0000  4 Mo 2.70, 4 Sb 2.70
Cu 0.0000 0.5000 0.5000  4 Mo 2.70, 4 Sb 2.70
Cu 0.5000 0.0000 0.5000  4 Mo 2.70, 4 Sb 2.70
Cu 0.5000 0.5000 0.0000  4 Sb 2.70, 4 Mo 2.70
Ni 0.0000 0.0000 0.5000  4 Mo 2.70, 4 Sb 2.70
Ni 0.0000 0.5000 0.0000  4 Mo 2.70, 4 Sb 2.70
Ni 0.5000 0.0000 0.0000  4 Mo 2.70, 4 Sb 2.70
Ni 0.5000 0.5000 0.5000  4 Mo 2.70, 4 Sb 2.70
Sb 0.2500 0.2500 0.7500  4 Ni 2.70, 4 Cu 2.70
Sb 0.2500 0.7500 0.2500  4 Ni 2.70, 4 Cu 2.70
Sb 0.7500 0.2500 0.2500  4 Ni 2.70, 4 Cu 2.70
Sb 0.7500 0.7500 0.7500  4 Ni 2.70, 4 Cu 2.70
Mo 0.2500 0.2500 0.2500  4 Ni 2.70, 4 Cu 2.70
Mo 0.2500 0.7500 0.7500  4 Ni 2.70, 4 Cu 2.70
Mo 0.7500 0.2500 0.7500  4 Ni 2.70, 4 Cu 2.70
Mo 0.7500 0.7500 0.2500  4 Ni 2.70, 4 Cu 2.70

***

Entry 4:
# CuNiSbMo

A geometry-optimized CuNiSbMo structure (GGA-PBE, OQMD via LeMat-Bulk).

E above lowest polymorph: 0.00 kcal/mol of atoms

Cell lengths 6.2428, 6.2428, 6.2428 Å; angles 90.00, 90.00, 90.00 degrees
Last column: nearest neighbours and their distance in Å.
Positions (direct):
Cu 0.0000 0.0000 0.0000  4 Sb 2.70, 4 Ni 2.70
Cu 0.0000 0.5000 0.5000  4 Sb 2.70, 4 Ni 2.70
Cu 0.5000 0.0000 0.5000  4 Sb 2.70, 4 Ni 2.70
Cu 0.5000 0.5000 0.0000  4 Sb 2.70, 4 Ni 2.70
Ni 0.2500 0.2500 0.2500  4 Cu 2.70, 4 Mo 2.70
Ni 0.2500 0.7500 0.7500  4 Cu 2.70, 4 Mo 2.70
Ni 0.7500 0.2500 0.7500  4 Cu 2.70, 4 Mo 2.70
Ni 0.7500 0.7500 0.2500  4 Cu 2.70, 4 Mo 2.70
Sb 0.2500 0.2500 0.7500  4 Mo 2.70, 4 Cu 2.70
Sb 0.2500 0.7500 0.2500  4 Mo 2.70, 4 Cu 2.70
Sb 0.7500 0.2500 0.2500  4 Mo 2.70, 4 Cu 2.70
Sb 0.7500 0.7500 0.7500  4 Mo 2.70, 4 Cu 2.70
Mo 0.0000 0.0000 0.5000  4 Ni 2.70, 4 Sb 2.70
Mo 0.0000 0.5000 0.0000  4 Ni 2.70, 4 Sb 2.70
Mo 0.5000 0.0000 0.0000  4 Ni 2.70, 4 Sb 2.70
Mo 0.5000 0.5000 0.5000  4 Ni 2.70, 4 Sb 2.70

***

Entry 5:
# CuSiNiMo

A geometry-optimized CuSiNiMo structure (GGA-PBE, OQMD via LeMat-Bulk).

E above lowest polymorph: 0.00 kcal/mol of atoms

Cell lengths 5.8813, 5.8813, 5.8813 Å; angles 90.00, 90.00, 90.00 degrees
Last column: nearest neighbours and their distance in Å.
Positions (direct):
Cu 0.0000 0.0000 0.0000  4 Ni 2.55, 4 Si 2.55
Cu 0.0000 0.5000 0.5000  4 Ni 2.55, 4 Si 2.55
Cu 0.5000 0.0000 0.5000  4 Ni 2.55, 4 Si 2.55
Cu 0.5000 0.5000 0.0000  4 Ni 2.55, 4 Si 2.55
Si 0.2500 0.2500 0.7500  4 Mo 2.55, 4 Cu 2.55
Si 0.2500 0.7500 0.2500  4 Mo 2.55, 4 Cu 2.55
Si 0.7500 0.2500 0.2500  4 Mo 2.55, 4 Cu 2.55
Si 0.7500 0.7500 0.7500  4 Cu 2.55, 4 Mo 2.55
Ni 0.2500 0.2500 0.2500  4 Mo 2.55, 4 Cu 2.55
Ni 0.2500 0.7500 0.7500  4 Mo 2.55, 4 Cu 2.55
Ni 0.7500 0.2500 0.7500  4 Mo 2.55, 4 Cu 2.55
Ni 0.7500 0.7500 0.2500  4 Mo 2.55, 4 Cu 2.55
Mo 0.0000 0.0000 0.5000  4 Si 2.55, 4 Ni 2.55
Mo 0.0000 0.5000 0.0000  4 Si 2.55, 4 Ni 2.55
Mo 0.5000 0.0000 0.0000  4 Si 2.55, 4 Ni 2.55
Mo 0.5000 0.5000 0.5000  4 Si 2.55, 4 Ni 2.55

***

Entry 6:
# CuSiNiMo

A geometry-optimized CuSiNiMo structure (GGA-PBE, OQMD via LeMat-Bulk).

E above lowest polymorph: 3.89 kcal/mol of atoms

Cell lengths 5.8776, 5.8776, 5.8776 Å; angles 90.00, 90.00, 90.00 degrees
Last column: nearest neighbours and their distance in Å.
Positions (direct):
Cu 0.0000 0.0000 0.0000  4 Si 2.55, 4 Mo 2.55
Cu 0.0000 0.5000 0.5000  4 Mo 2.55, 4 Si 2.55
Cu 0.5000 0.0000 0.5000  4 Mo 2.55, 4 Si 2.55
Cu 0.5000 0.5000 0.0000  4 Mo 2.55, 4 Si 2.55
Si 0.2500 0.2500 0.2500  4 Ni 2.55, 4 Cu 2.55
Si 0.2500 0.7500 0.7500  4 Ni 2.55, 4 Cu 2.55
Si 0.7500 0.2500 0.7500  4 Ni 2.55, 4 Cu 2.55
Si 0.7500 0.7500 0.2500  4 Ni 2.55, 4 Cu 2.55
Ni 0.0000 0.0000 0.5000  4 Mo 2.55, 4 Si 2.55
Ni 0.0000 0.5000 0.0000  4 Mo 2.55, 4 Si 2.55
Ni 0.5000 0.0000 0.0000  4 Mo 2.55, 4 Si 2.55
Ni 0.5000 0.5000 0.5000  4 Mo 2.55, 4 Si 2.55
Mo 0.2500 0.2500 0.7500  4 Ni 2.55, 4 Cu 2.55
Mo 0.2500 0.7500 0.2500  4 Ni 2.55, 4 Cu 2.55
Mo 0.7500 0.2500 0.2500  4 Ni 2.55, 4 Cu 2.55
Mo 0.7500 0.7500 0.7500  4 Ni 2.55, 4 Cu 2.55

***

Entry 7:
# ZnCuNiMo

A geometry-optimized ZnCuNiMo structure (GGA-PBE, OQMD via LeMat-Bulk).

DFT formation energy: 0.168 eV/atom
E above lowest polymorph: 0.67 kcal/mol of atoms

Cell lengths 5.9343, 5.9343, 5.9343 Å; angles 90.00, 90.00, 90.00 degrees
Last column: nearest neighbours and their distance in Å.
Positions (direct):
Zn 0.0000 0.0000 0.0000  4 Mo 2.57, 4 Cu 2.57
Zn 0.0000 0.5000 0.5000  4 Mo 2.57, 4 Cu 2.57
Zn 0.5000 0.0000 0.5000  4 Mo 2.57, 4 Cu 2.57
Zn 0.5000 0.5000 0.0000  4 Mo 2.57, 4 Cu 2.57
Cu 0.2500 0.2500 0.2500  4 Ni 2.57, 4 Zn 2.57
Cu 0.2500 0.7500 0.7500  4 Ni 2.57, 4 Zn 2.57
Cu 0.7500 0.2500 0.7500  4 Ni 2.57, 4 Zn 2.57
Cu 0.7500 0.7500 0.2500  4 Ni 2.57, 4 Zn 2.57
Ni 0.0000 0.0000 0.5000  4 Mo 2.57, 4 Cu 2.57
Ni 0.0000 0.5000 0.0000  4 Mo 2.57, 4 Cu 2.57
Ni 0.5000 0.0000 0.0000  4 Mo 2.57, 4 Cu 2.57
Ni 0.5000 0.5000 0.5000  4 Mo 2.57, 4 Cu 2.57
Mo 0.2500 0.2500 0.7500  4 Ni 2.57, 4 Zn 2.57
Mo 0.2500 0.7500 0.2500  4 Ni 2.57, 4 Zn 2.57
Mo 0.7500 0.2500 0.2500  4 Ni 2.57, 4 Zn 2.57
Mo 0.7500 0.7500 0.7500  4 Ni 2.57, 4 Zn 2.57

***

Entry 8:
# ZnCuNiMo

A geometry-optimized ZnCuNiMo structure (GGA-PBE, OQMD via LeMat-Bulk).

DFT formation energy: 0.138 eV/atom
E above lowest polymorph: 0.00 kcal/mol of atoms

Cell lengths 5.9331, 5.9331, 5.9331 Å; angles 90.00, 90.00, 90.00 degrees
Last column: nearest neighbours and their distance in Å.
Positions (direct):
Zn 0.0000 0.0000 0.0000  4 Ni 2.57, 4 Cu 2.57
Zn 0.0000 0.5000 0.5000  4 Cu 2.57, 4 Ni 2.57
Zn 0.5000 0.0000 0.5000  4 Cu 2.57, 4 Ni 2.57
Zn 0.5000 0.5000 0.0000  4 Ni 2.57, 4 Cu 2.57
Cu 0.2500 0.2500 0.2500  4 Mo 2.57, 4 Zn 2.57
Cu 0.2500 0.7500 0.7500  4 Mo 2.57, 4 Zn 2.57
Cu 0.7500 0.2500 0.7500  4 Mo 2.57, 4 Zn 2.57
Cu 0.7500 0.7500 0.2500  4 Mo 2.57, 4 Zn 2.57
Ni 0.2500 0.2500 0.7500  4 Mo 2.57, 4 Zn 2.57
Ni 0.2500 0.7500 0.2500  4 Mo 2.57, 4 Zn 2.57
Ni 0.7500 0.2500 0.2500  4 Mo 2.57, 4 Zn 2.57
Ni 0.7500 0.7500 0.7500  4 Mo 2.57, 4 Zn 2.57
Mo 0.0000 0.0000 0.5000  4 Ni 2.57, 4 Cu 2.57
Mo 0.0000 0.5000 0.0000  4 Ni 2.57, 4 Cu 2.57
Mo 0.5000 0.0000 0.0000  4 Ni 2.57, 4 Cu 2.57
Mo 0.5000 0.5000 0.5000  4 Ni 2.57, 4 Cu 2.57